Record 1
# PBE CuNi3, relaxed
data_CuNi3
_cell_length_a 2.483
_cell_length_b 4.114
_cell_length_c 4.349
_cell_angle_alpha 90.00
_cell_angle_beta 90.00
_cell_angle_gamma 90.00
_symmetry_space_group_name_H-M 'P m m 2'
_symmetry_Int_Tables_number 25
loop_
_symmetry_equiv_pos_as_xyz
'x,y,z'
'-x,-y,z'
'-x,y,z'
'x,-y,z'
loop_
_atom_site_label
_atom_site_fract_x
_atom_site_fract_y
_atom_site_fract_z
Cu1 0.000 0.000 0.000
Ni1 0.000 0.500 0.333
Ni2 0.500 0.000 0.500
Ni3 0.500 0.500 0.826
# Crystal system   orthorhombic
# E_form   0.18 eV per formula unit
# Electronic total energy   -21.260 eV for the cell shown

Record 2
# PBE Cu2Ni3, relaxed
data_Cu2Ni3
_cell_length_a 2.5102
_cell_length_b 2.5102
_cell_length_c 30.9071
_cell_angle_alpha 90.00
_cell_angle_beta 90.00
_cell_angle_gamma 120.00
_symmetry_space_group_name_H-M 'R -3 m'
_symmetry_Int_Tables_number 166
_symmetry_space_group_name_Hall '-R 3 2"'
loop_
_atom_site_label
_atom_site_fract_x
_atom_site_fract_y
_atom_site_fract_z
Cu1 0.0000 0.0000 0.2010
Ni1 0.0000 0.0000 0.0000
Ni2 0.0000 0.0000 0.3985
# ΔE to the lowest computed polymorph   0 meV per atom
# Crystal system   trigonal
# E_form   0.05 eV per formula unit
# Electronic total energy   -76.455 eV for the cell shown

Record 3
# PBE Cu5Ni3, relaxed
data_Cu5Ni3
_cell_length_a 5.055
_cell_length_b 7.154
_cell_length_c 10.122
_cell_angle_alpha 90.00
_cell_angle_beta 90.00
_cell_angle_gamma 90.00
_symmetry_space_group_name_H-M 'F m m m'
_symmetry_Int_Tables_number 69
_symmetry_space_group_name_Hall '-F 2 2'
loop_
_atom_site_label
_atom_site_fract_x
_atom_site_fract_y
_atom_site_fract_z
Cu1 0.000 0.000 0.000
Cu2 0.250 0.250 0.126
Ni1 0.000 0.000 0.252
Ni2 0.000 0.000 0.500
# ΔE to the lowest computed polymorph   4 meV per atom
# Crystal system   orthorhombic
# E_form   0.24 eV per formula unit
# Electronic total energy   -150.348 eV for the cell shown

Record 4
# PBE Cu2Ni, relaxed
data_Cu2Ni
_cell_length_a 9.423
_cell_length_b 2.522
_cell_length_c 6.038
_cell_angle_alpha 90.00
_cell_angle_beta 105.96
_cell_angle_gamma 90.00
_symmetry_space_group_name_H-M 'C 1 m 1'
_symmetry_Int_Tables_number 8
loop_
_symmetry_equiv_pos_as_xyz
'x,y,z'
'x,-y,z'
'x+1/2,y+1/2,z'
'x+1/2,-y+1/2,z'
loop_
_atom_site_label
_atom_site_fract_x
_atom_site_fract_y
_atom_site_fract_z
Cu1 0.000 0.000 0.000
Cu2 0.055 0.000 0.611
Cu3 0.166 0.500 0.331
Cu4 0.331 0.000 0.666
Ni1 0.224 0.500 0.948
Ni2 0.386 0.000 0.273
# Crystal system   monoclinic
# E_form   0.05 eV per formula unit
# Electronic total energy   -55.701 eV for the cell shown

Record 5
# PBE CuNi5, relaxed
data_CuNi5
_cell_length_a 9.280
_cell_length_b 2.483
_cell_length_c 5.971
_cell_angle_alpha 90.00
_cell_angle_beta 105.58
_cell_angle_gamma 90.00
_symmetry_space_group_name_H-M 'C 1 m 1'
_symmetry_Int_Tables_number 8
loop_
_symmetry_equiv_pos_as_xyz
'x,y,z'
'x,-y,z'
'x+1/2,y+1/2,z'
'x+1/2,-y+1/2,z'
loop_
_atom_site_label
_atom_site_fract_x
_atom_site_fract_y
_atom_site_fract_z
Cu1 0.000 0.000 0.000
Ni1 0.056 0.000 0.610
Ni2 0.167 0.500 0.336
Ni3 0.224 0.500 0.945
Ni4 0.331 0.000 0.664
Ni5 0.387 0.000 0.281
# ΔE to the lowest computed polymorph   25 meV per atom
# Crystal system   monoclinic
# E_form   0.25 eV per formula unit
# Electronic total energy   -65.504 eV for the cell shown

Record 6
# PBE CuNi3, relaxed
data_CuNi3
_cell_length_a 2.4986
_cell_length_b 2.4986
_cell_length_c 8.2226
_cell_angle_alpha 90.00
_cell_angle_beta 90.00
_cell_angle_gamma 120.00
_symmetry_space_group_name_H-M 'P -6 m 2'
_symmetry_Int_Tables_number 187
_symmetry_space_group_name_Hall 'P -6 2'
loop_
_atom_site_label
_atom_site_fract_x
_atom_site_fract_y
_atom_site_fract_z
Cu1 0.0000 0.0000 0.0000
Ni1 0.3333 0.6667 0.2542
Ni2 0.6667 0.3333 0.5000
# Crystal system   hexagonal
# E_form   0.09 eV per formula unit
# Electronic total energy   -21.345 eV for the cell shown

Record 7
# PBE CuNi5, relaxed
data_CuNi5
_cell_length_a 4.5943
_cell_length_b 4.5943
_cell_length_c 4.0252
_cell_angle_alpha 90.00
_cell_angle_beta 90.00
_cell_angle_gamma 120.00
_symmetry_space_group_name_H-M 'P 6/m m m'
_symmetry_Int_Tables_number 191
_symmetry_space_group_name_Hall '-P 6 2'
loop_
_atom_site_label
_atom_site_fract_x
_atom_site_fract_y
_atom_site_fract_z
Cu1 0.0000 0.0000 0.0000
Ni1 0.0000 0.5000 0.5000
Ni2 0.3333 0.6667 0.0000
# ΔE to the lowest computed polymorph   283 meV per atom
# Crystal system   hexagonal
# E_form   1.80 eV per formula unit
# Electronic total energy   -31.208 eV for the cell shown

Record 8
# PBE Cu4Ni, relaxed
data_Cu4Ni
_cell_length_a 4.339
_cell_length_b 4.339
_cell_length_c 4.339
_cell_angle_alpha 90.00
_cell_angle_beta 90.00
_cell_angle_gamma 90.00
_symmetry_space_group_name_H-M 'P m -3 m'
_symmetry_Int_Tables_number 221
_symmetry_space_group_name_Hall '-P 4 2 3'
loop_
_atom_site_label
_atom_site_fract_x
_atom_site_fract_y
_atom_site_fract_z
Cu1 0.000 0.000 0.000
Cu2 0.000 0.500 0.500
Ni1 0.500 0.500 0.500
# ΔE to the lowest computed polymorph   965 meV per atom
# Crystal system   cubic
# E_form   4.86 eV per formula unit
# Electronic total energy   -17.307 eV for the cell shown

Record 9
# PBE Cu4Ni3, relaxed
data_Cu4Ni3
_cell_length_a 2.469
_cell_length_b 2.469
_cell_length_c 27.827
_cell_angle_alpha 90.00
_cell_angle_beta 90.00
_cell_angle_gamma 90.00
_symmetry_space_group_name_H-M 'I 4/m m m'
_symmetry_Int_Tables_number 139
_symmetry_space_group_name_Hall '-I 4 2'
loop_
_atom_site_label
_atom_site_fract_x
_atom_site_fract_y
_atom_site_fract_z
Cu1 0.000 0.000 0.066
Cu2 0.000 0.000 0.366
Ni1 0.000 0.000 0.280
Ni2 0.000 0.000 0.500
# ΔE to the lowest computed polymorph   124 meV per atom
# Crystal system   tetragonal
# E_form   1.34 eV per formula unit
# Electronic total energy   -64.778 eV for the cell shown

Record 10
# PBE Cu4Ni, relaxed
data_Cu4Ni
_cell_length_a 5.707
_cell_length_b 5.707
_cell_length_c 3.578
_cell_angle_alpha 90.00
_cell_angle_beta 90.00
_cell_angle_gamma 90.00
_symmetry_space_group_name_H-M 'I 4/m'
_symmetry_Int_Tables_number 87
_symmetry_space_group_name_Hall '-I 4'
loop_
_atom_site_label
_atom_site_fract_x
_atom_site_fract_y
_atom_site_fract_z
Cu1 0.101 0.299 0.000
Ni1 0.000 0.000 0.500
# ΔE to the lowest computed polymorph   2 meV per atom
# Crystal system   tetragonal
# E_form   0.05 eV per formula unit
# Electronic total energy   -44.238 eV for the cell shown

Record 11
# PBE Cu6Ni, relaxed
data_Cu6Ni
_cell_length_a 6.368
_cell_length_b 6.368
_cell_length_c 6.368
_cell_angle_alpha 90.00
_cell_angle_beta 90.00
_cell_angle_gamma 90.00
_symmetry_space_group_name_H-M 'I m -3 m'
_symmetry_Int_Tables_number 229
_symmetry_space_group_name_Hall '-I 4 2 3'
loop_
_atom_site_label
_atom_site_fract_x
_atom_site_fract_y
_atom_site_fract_z
Cu1 0.000 0.250 0.500
Ni1 0.000 0.000 0.000
# ΔE to the lowest computed polymorph   1123 meV per atom
# Crystal system   cubic
# E_form   8.10 eV per formula unit
# Electronic total energy   -44.524 eV for the cell shown

Record 12
# PBE CuNi3, relaxed
data_CuNi3
_cell_length_a 4.493
_cell_length_b 4.493
_cell_length_c 4.493
_cell_angle_alpha 90.00
_cell_angle_beta 90.00
_cell_angle_gamma 90.00
_symmetry_space_group_name_H-M 'P m -3 n'
_symmetry_Int_Tables_number 223
_symmetry_space_group_name_Hall '-P 4n 2 3'
loop_
_atom_site_label
_atom_site_fract_x
_atom_site_fract_y
_atom_site_fract_z
Cu1 0.000 0.000 0.000
Ni1 0.000 0.250 0.500
# Crystal system   cubic
# E_form   0.66 eV per formula unit
# Electronic total energy   -41.568 eV for the cell shown